# Ti2CuPd8 (PBE-GGA, relaxed)
# formation energy = -0.40 eV/atom
# volume = 171.2 Å³/cell
data_Ti2CuPd8
_chemical_formula_sum 'Ti2 Cu1 Pd8'
_cell_length_a 4.233
_cell_length_b 7.309
_cell_length_c 6.961
_cell_angle_alpha 121.67
_cell_angle_beta 107.70
_cell_angle_gamma 90.00
_symmetry_space_group_name_H-M 'P 1'
_symmetry_Int_Tables_number 1
_symmetry_space_group_name_Hall 'P 1'
loop_
_atom_site_label
_atom_site_type_symbol
_atom_site_fract_x
_atom_site_fract_y
_atom_site_fract_z
_atom_site_occupancy
Pd1 Pd 0.859 0.859 0.719 1
Pd2 Pd 0.344 0.561 0.688 1
Pd3 Pd 0.000 0.685 0.000 1
Pd4 Pd 0.656 0.873 0.312 1
Pd5 Pd 0.000 0.315 0.000 1
Cu1 Cu 0.500 0.000 0.000 1
Pd6 Pd 0.344 0.127 0.688 1
Pd7 Pd 0.656 0.439 0.312 1
Ti1 Ti 0.797 0.297 0.594 1
Pd8 Pd 0.141 0.141 0.281 1
Ti2 Ti 0.203 0.703 0.406 1